# LaPrGa2Au2, relaxed, DFT PBE
data_LaPrGa2Au2
_chemical_formula_sum 'La1 Pr1 Ga2 Au2'
_space_group_name_H-M_alt 'P -6 m 2'
_space_group_IT_number 187
_space_group_name_Hall 'P -6 2'
_cell_length_a 4.6367
_cell_length_b 4.6367
_cell_length_c 7.5488
_cell_angle_alpha 90.00
_cell_angle_beta 90.00
_cell_angle_gamma 120.00
loop_
_atom_site_label
_atom_site_type_symbol
_atom_site_fract_x
_atom_site_fract_y
_atom_site_fract_z
La1 La 0.0000 0.0000 0.0000
Pr1 Pr 0.0000 0.0000 0.5000
Ga1 Ga 0.3333 0.6667 0.2813
Au1 Au 0.6667 0.3333 0.2436
# polymorph energy (0 for the lowest one): 0 kJ/mol of formula units
# total DFT energy (no corrections): -4.5104 eV/atom